The following is a PBE-GGA calculation of a relaxed structure of DySi2NiAg, from OQMD.

The structure belongs to space group I-4m2 (No. 119); the cell edges are 4.057, 4.057 and 10.152 Å and the angles 90.00°, 90.00° and 90.00°. The asymmetric unit holds Dy at (0.000, 0.000, 0.000), Si at (0.000, 0.000, 0.386), Ni at (0.000, 0.500, 0.750) and Ag at (0.000, 0.500, 0.250).

The spin magnetization comes out at 0.00 μB per atom. As for the crystal system: tetragonal. Its total energy is -5.318 eV/atom.

***

The following is a PBE-GGA calculation of a relaxed structure of BeTlCoPt, from OQMD.

The structure belongs to space group F-43m (No. 216); the cell edges are 6.169, 6.169 and 6.169 Å and the angles 90.00°, 90.00° and 90.00°. The asymmetric unit holds Be at (0.000, 0.000, 0.000), Tl at (0.000, 0.000, 0.500), Co at (0.250, 0.250, 0.750) and Pt at (0.250, 0.250, 0.250).

The spin magnetization comes out at 0.20 μB per atom. As for the crystal system: cubic. Its offset from the most stable computed form is 0.0 meV/atom.

***

The following is a PBE-GGA calculation of a relaxed structure of Be2TlFe, from OQMD.

The structure belongs to space group F-43m (No. 216); the cell edges are 5.967, 5.967 and 5.967 Å and the angles 90.00°, 90.00° and 90.00°. The asymmetric unit holds Be at (0.000, 0.000, 0.000), Be at (0.250, 0.250, 0.250), Tl at (0.000, 0.000, 0.500) and Fe at (0.250, 0.250, 0.750).

The spin magnetization comes out at 0.44 μB per atom. As for the crystal system: cubic. Its total energy is -3.849 eV/atom.

***

The following is a PBE-GGA calculation of a relaxed structure of FeNi2Bi, from OQMD.

The structure belongs to space group F-43m (No. 216); the cell edges are 6.044, 6.044 and 6.044 Å and the angles 90.00°, 90.00° and 90.00°. The asymmetric unit holds Fe at (0.000, 0.000, 0.000), Ni at (0.000, 0.000, 0.500), Ni at (0.250, 0.250, 0.250) and Bi at (0.250, 0.250, 0.750).

The spin magnetization comes out at 0.73 μB per atom. As for the crystal system: cubic. Its total energy is -5.554 eV/atom.

***

> What is the spin magnetization in the third record?

0.44 μB per atom

***

> Which of these has the highest spin magnetization?

FeNi2Bi

***

> Which value of spin magnetization does entry 4 give?

0.73 μB per atom

***

> spin magnetization of number 1 (DySi2NiAg)?

0.00 μB per atom